A plane-wave DFT calculation with PBE was carried out for crystalline TaTlHg2 at its relaxed geometry.

Output
* volume: 22.53 A^3/atom
* ΔH_f (0 K): 827 meV per atom

a = 7.1165 Å, b = 7.1165 Å, c = 7.1165 Å
α = 90.00°, β = 90.00°, γ = 90.00°
Closest atoms and distances in Å follow each position.
Space group F-43m (No. 216)
Asymmetric unit:
Ta: 0.0000 0.0000 0.0000  4 Hg 3.08, 4 Tl 3.08
Tl: 0.2500 0.2500 0.7500  4 Hg 3.08, 4 Ta 3.08
Hg: 0.0000 0.0000 0.5000  4 Tl 3.08, 4 Hg 3.08
Hg: 0.2500 0.2500 0.2500  4 Hg 3.08, 4 Ta 3.08


A plane-wave DFT calculation with PBE was carried out for crystalline MgOsSe2 at its relaxed geometry.

Output
* volume: 16.78 A^3/atom
* raw formation energy: 0.14 eV/atom

a = 4.6118 Å, b = 4.6118 Å, c = 3.1563 Å
α = 90.00°, β = 90.00°, γ = 90.00°
Closest atoms and distances in Å follow each position.
Space group P4/mmm (No. 123)
Asymmetric unit:
Mg: 0.0000 0.0000 0.0000  8 Se 2.79
Os: 0.5000 0.5000 0.0000  8 Se 2.79
Se: 0.0000 0.5000 0.5000  4 Os 2.79, 4 Mg 2.79


A plane-wave DFT calculation with PBE was carried out for crystalline RbCaBiO3 at its relaxed geometry.

Output
* volume: 23.05 A^3/atom
* raw formation energy: -1.83 eV/atom

a = 6.1363 Å, b = 4.6742 Å, c = 9.6440 Å
α = 90.00°, β = 90.72°, γ = 90.00°
Closest atoms and distances in Å follow each position.
Space group P2_1/m (No. 11)
Asymmetric unit:
Rb: 0.2343 0.2500 0.3120  3 O 2.74-3.06
Ca: 0.2111 0.7500 0.9944  5 O 2.27-2.40
Bi: 0.2821 0.2500 0.7441  2 O 2.08-2.14
O: 0.1582 0.2500 0.9510  1 Bi 2.14, 3 Ca 2.33-2.40
O: 0.2543 0.7500 0.7566  1 Ca 2.31, 2 Bi 2.35
O: 0.3892 0.7500 0.2015  1 Bi 2.08, 1 Ca 2.27


A plane-wave DFT calculation with PBE was carried out for crystalline Rb2AlOF5 at its relaxed geometry.

Output
* volume: 17.35 A^3/atom
* raw formation energy: -2.57 eV/atom

a = 9.7734 Å, b = 8.3947 Å, c = 7.6135 Å
α = 90.00°, β = 90.00°, γ = 90.00°
Closest atoms and distances in Å follow each position.
Space group Cmcm (No. 63)
Asymmetric unit:
Rb: 0.2246 0.2265 0.2500  7 F 2.83-3.14, 1 O 3.06
Al: 0.0000 0.5000 0.0000  6 F 1.81-1.90
O: 0.0000 0.1008 0.7500  2 F 2.42
F: 0.0000 0.2830 0.5036  1 Al 1.82
F: 0.0000 0.4933 0.2500  2 Al 1.90
F: 0.1847 0.5000 0.0000  1 Al 1.81


A plane-wave DFT calculation with PBE was carried out for crystalline TeAsIr at its relaxed geometry.

Output
* volume: 21.10 A^3/atom
* raw formation energy: -0.41 eV/atom

a = 3.9740 Å, b = 5.0983 Å, c = 6.2499 Å
α = 90.00°, β = 90.00°, γ = 90.00°
Closest atoms and distances in Å follow each position.
Space group Pmn2_1 (No. 31)
Asymmetric unit:
Te: 0.0000 0.0429 0.0000  3 Ir 2.64-2.65, 1 As 2.70
As: 0.0000 0.4710 0.2552  3 Ir 2.50-2.53, 1 Te 2.70
Ir: 0.0000 0.2690 0.6195  3 As 2.50-2.53, 3 Te 2.64-2.65


A plane-wave DFT calculation with PBE was carried out for crystalline LiTaZn2 at its relaxed geometry.

Output
* volume: 15.91 A^3/atom
* E above lowest polymorph: 110.9 meV per atom
* ΔH_f (0 K): 44 meV per atom

a = 10.3129 Å, b = 2.5811 Å, c = 4.9932 Å
α = 90.00°, β = 106.70°, γ = 90.00°
Closest atoms and distances in Å follow each position.
Space group Cm (No. 8)
Asymmetric unit:
Li: 0.0000 0.0000 0.0000  2 Li 2.58, 5 Zn 2.76-2.80
Ta: 0.2918 0.5000 0.3951  2 Ta 2.58, 7 Zn 2.76-2.88
Zn: 0.0385 0.5000 0.5054  4 Zn 2.58-2.74, 2 Li 2.76, 3 Ta 2.76-2.82
Zn: 0.2491 0.0000 0.8782  4 Zn 2.58-2.74, 3 Li 2.80, 4 Ta 2.80-2.88


A plane-wave DFT calculation with PBE was carried out for crystalline Ba2PtAu3 at its relaxed geometry.

Output
* volume: 28.74 A^3/atom
* ΔH_f (0 K): -703 meV per atom

a = 4.3279 Å, b = 4.7832 Å, c = 8.3288 Å
α = 90.00°, β = 90.00°, γ = 90.00°
Closest atoms and distances in Å follow each position.
Space group Pmm2 (No. 25)
Asymmetric unit:
Ba: 0.0000 0.0000 0.0000  2 Pt 3.42, 10 Au 3.48-3.67
Ba: 0.0000 0.5000 0.4759  8 Au 3.42-3.60, 4 Pt 3.48
Pt: 0.5000 0.0000 0.3174  3 Au 2.72-2.73
Au: 0.5000 0.0000 0.6443  1 Pt 2.72, 2 Au 2.81
Au: 0.5000 0.5000 0.1584  2 Pt 2.73, 1 Au 2.81
Au: 0.5000 0.5000 0.8212  3 Au 2.81


A plane-wave DFT calculation with PBE was carried out for crystalline Ba4Zn2F at its relaxed geometry.

Output
* volume: 37.12 A^3/atom
* raw formation energy: -0.81 eV/atom

a = 5.5007 Å, b = 5.5007 Å, c = 17.1762 Å
α = 90.00°, β = 90.00°, γ = 90.00°
Closest atoms and distances in Å follow each position.
Space group I4/mmm (No. 139)
Asymmetric unit:
Ba: 0.0000 0.0000 0.1881  1 F 3.23, 1 Zn 3.31
Ba: 0.0000 0.5000 0.0000  2 F 2.75
Zn: 0.0000 0.0000 0.3809  5 Ba 3.31-3.43
F: 0.0000 0.0000 0.0000  4 Ba 2.75